Record 1
DFT (PBE-GGA) results for crystalline HoAl3Cd2Ge2Pt at its relaxed geometry.

Cell: 4.152 6.899 6.899 Å, 119.72 90.00 90.00°
Atoms (fractional coordinates):
Al 0.500 0.236 0.000
Al 0.500 0.000 0.236
Al 0.500 0.764 0.764
Cd 0.000 0.592 0.002
Cd 0.000 0.002 0.592
Ge 0.500 0.666 0.323
Ge 0.500 0.323 0.666
Ho 0.000 0.422 0.422
Pt 0.000 0.994 0.994

Record 2
DFT (PBE-GGA) results for crystalline RbNa2AgO2 at its relaxed geometry.

Cell: 7.070 7.070 7.070 Å, 131.52 74.71 126.92°
Atoms (fractional coordinates):
Ag 0.000 0.000 0.000
Ag 0.500 0.500 0.000
Na 0.486 0.250 0.236
Na 0.986 0.750 0.236
Na 0.014 0.250 0.764
Na 0.514 0.750 0.764
O 0.352 0.731 0.084
O 0.148 0.231 0.379
O 0.852 0.769 0.621
O 0.648 0.269 0.916
Rb 0.750 0.250 0.500
Rb 0.250 0.750 0.500

Record 3
DFT (PBE-GGA) results for crystalline DyAg3Pd4O12 at its relaxed geometry.

Cell: 6.669 6.669 6.669 Å, 109.47 109.47 109.47°
Atoms (fractional coordinates):
Ag 0.500 0.500 0.000
Ag 0.500 0.000 0.500
Ag 0.000 0.500 0.500
Dy 0.000 0.000 0.000
O 0.287 0.831 0.119
O 0.456 0.287 0.169
O 0.881 0.713 0.169
O 0.831 0.119 0.287
O 0.169 0.456 0.287
O 0.287 0.169 0.456
O 0.713 0.831 0.544
O 0.169 0.881 0.713
O 0.831 0.544 0.713
O 0.119 0.287 0.831
O 0.544 0.713 0.831
O 0.713 0.169 0.881
Pd 0.500 0.000 0.000
Pd 0.000 0.500 0.000
Pd 0.000 0.000 0.500
Pd 0.500 0.500 0.500

Record 4
DFT (PBE-GGA) results for crystalline Pr3CoGe2 at its relaxed geometry.

Cell: 12.029 4.274 11.621 Å, 90.00 90.00 90.00°
Atoms (fractional coordinates):
Co 0.133 0.250 0.133
Co 0.633 0.250 0.367
Co 0.367 0.750 0.633
Co 0.867 0.750 0.867
Ge 0.305 0.250 0.005
Ge 0.025 0.750 0.183
Ge 0.525 0.750 0.317
Ge 0.805 0.250 0.495
Ge 0.195 0.750 0.505
Ge 0.475 0.250 0.683
Ge 0.975 0.250 0.817
Ge 0.695 0.750 0.995
Pr 0.881 0.250 0.056
Pr 0.556 0.250 0.129
Pr 0.279 0.750 0.201
Pr 0.779 0.750 0.299
Pr 0.056 0.250 0.371
Pr 0.381 0.250 0.444
Pr 0.619 0.750 0.556
Pr 0.944 0.750 0.629
Pr 0.221 0.250 0.701
Pr 0.721 0.250 0.799
Pr 0.444 0.750 0.871
Pr 0.119 0.750 0.944

Number 1: energy -36.806 eV for the cell shown. Number 2: energy -43.733 eV for the cell shown. Number 3: energy -105.937 eV for the cell shown. Number 4: energy -138.047 eV for the cell shown.